## w
CaBeAg3, optimized geometry, DFT PBE; size of the total moment = 0.00 μB/f.u.
1.0
5.4591 0.0000 0.0000
0.0000 5.4591 0.0000
0.0000 0.0000 5.4591
Be Ca Ag
1 1 3
Direct
0.5000 0.5000 0.5000
0.0000 0.0000 0.0000
0.0000 0.5000 0.0000
0.0000 0.0000 0.5000
0.5000 0.0000 0.0000



## x
CaBeAg3, optimized geometry, DFT PBE; size of the total moment = 0.00 μB/f.u.
1.0
-0.0039 2.3789 -3.9657
-4.5148 0.8565 0.5182
1.0011 3.8720 2.3218
Be Ca Ag
1 1 3
Direct
0.0000 0.0000 0.0000
0.5000 0.5000 0.5000
0.0000 0.5000 0.0000
0.0000 0.0000 0.5000
0.5000 0.0000 0.0000



Verdict on stability: w comes out at the bottom.



## w
CaBe3Ag, optimized geometry, DFT PBE; size of the total moment = 0.00 μB/f.u.
1.0
5.1549 0.0000 0.0000
0.0000 5.1549 0.0000
0.0000 0.0000 5.1549
Be Ca Ag
3 1 1
Direct
0.0000 0.5000 0.0000
0.0000 0.0000 0.5000
0.5000 0.0000 0.0000
0.0000 0.0000 0.0000
0.5000 0.5000 0.5000



## x
CaBe3Ag, optimized geometry, DFT PBE; size of the total moment = 0.00 μB/f.u.
1.0
-3.4736 1.5920 -2.2460
-1.5701 -4.1158 -0.4891
-2.2613 0.4123 3.7896
Be Ca Ag
3 1 1
Direct
0.0000 0.5000 0.0000
0.0000 0.0000 0.5000
0.5000 0.0000 0.0000
0.5000 0.5000 0.5000
0.0000 0.0000 0.0000



Verdict on stability: w comes out at the bottom.



## w
Ca3BeAg, optimized geometry, DFT PBE; size of the total moment = 0.00 μB/f.u.
1.0
5.4718 0.0000 0.0000
0.0000 5.4718 0.0000
0.0000 0.0000 5.4718
Be Ca Ag
1 3 1
Direct
0.0000 0.0000 0.0000
0.0000 0.5000 0.0000
0.0000 0.0000 0.5000
0.5000 0.0000 0.0000
0.5000 0.5000 0.5000



## x
Ca3BeAg, optimized geometry, DFT PBE; size of the total moment = 0.00 μB/f.u.
1.0
-4.4283 2.1136 2.8151
-3.3225 -4.0042 -2.2201
1.1631 -3.3913 4.3758
Be Ca Ag
1 3 1
Direct
0.5000 0.5000 0.5000
0.0000 0.5000 0.0000
0.0000 0.0000 0.5000
0.5000 0.0000 0.0000
0.0000 0.0000 0.0000



Verdict on stability: x comes out at the bottom.



## w
BeCdAg2, optimized geometry, DFT PBE; size of the total moment = 0.00 μB/f.u.
1.0
3.9178 0.0000 0.0000
0.0000 3.9178 0.0000
1.9589 1.9589 9.5315
Be Ag Cd
2 4 2
Direct
0.5000 0.5000 0.0000
0.2500 0.7500 0.5000
0.6115 0.1250 0.2500
0.1385 0.6250 0.2500
0.3750 0.3885 0.7500
0.8750 0.8615 0.7500
0.0000 0.0000 0.0000
0.7500 0.2500 0.5000



## x
BeCdAg2, optimized geometry, DFT PBE; size of the total moment = 0.00 μB/f.u.
1.0
-0.0795 1.9314 -4.6738
-4.5540 -0.3402 -2.1740
1.6292 1.7117 4.4718
Be Ag Cd
1 2 1
Direct
0.5000 0.5000 0.0000
0.0000 0.0000 0.0000
0.2500 0.7500 0.5000
0.7500 0.2500 0.5000



## y
BeCdAg2, optimized geometry, DFT PBE; size of the total moment = 0.00 μB/f.u.
1.0
-0.5776 -0.1672 4.4449
-0.4925 -4.4295 -0.5051
3.2477 -0.4075 0.4067
Be Ag Cd
1 2 1
Direct
0.5000 0.0000 0.5000
0.0000 0.0000 0.0000
0.5000 0.5000 0.0000
0.0000 0.5000 0.5000



Verdict on stability: w comes out at the bottom.



## w
BeCdAg2, optimized geometry, DFT PBE; size of the total moment = 0.00 μB/f.u.
1.0
-2.6144 -1.6040 -0.3885
1.5717 -2.6418 0.3307
-1.1077 0.1806 6.7081
Be Ag Cd
1 2 1
Direct
0.0000 0.0000 0.4690
0.0000 0.0000 0.0133
0.5000 0.5000 0.2970
0.5000 0.5000 0.7207



## x
BeCdAg2, optimized geometry, DFT PBE; size of the total moment = 0.00 μB/f.u.
1.0
4.6989 -0.1094 0.0000
0.8993 4.6134 0.0000
-2.7991 -2.2520 3.0307
Be Ag Cd
1 2 1
Direct
0.2500 0.7500 0.5000
0.0000 0.0000 0.0000
0.5000 0.5000 0.0000
0.7500 0.2500 0.5000



Verdict on stability: x comes out at the bottom.



## w
BeCd2Ag2, optimized geometry, DFT PBE; size of the total moment = 0.00 μB/f.u.
1.0
-3.1524 3.9535 4.2219
-5.4182 -0.3357 -3.7313
-1.3331 -3.4627 2.2473
Be Ag Cd
2 4 4
Direct
0.0000 0.0000 0.0000
0.5000 0.5000 0.0000
0.1550 0.6550 0.5000
0.6550 0.8450 0.5000
0.8450 0.3450 0.5000
0.3450 0.1550 0.5000
0.3433 0.8433 0.0000
0.8433 0.6567 0.0000
0.6567 0.1567 0.0000
0.1567 0.3433 0.0000



## x
BeCd2Ag2, optimized geometry, DFT PBE; size of the total moment = 0.00 μB/f.u.
1.0
-2.9811 1.1684 -5.4733
-2.8024 -5.6795 0.3140
-3.4712 1.8390 2.2832
Be Ag Cd
2 4 4
Direct
0.0000 0.0000 0.0000
0.5000 0.5000 0.0000
0.3421 0.8421 0.0000
0.8421 0.6579 0.0000
0.6579 0.1579 0.0000
0.1579 0.3421 0.0000
0.1633 0.6633 0.5000
0.6633 0.8367 0.5000
0.8367 0.3367 0.5000
0.3367 0.1633 0.5000



Verdict on stability: w comes out at the bottom.



## w
BeCdAg3, optimized geometry, DFT PBE; size of the total moment = 0.00 μB/f.u.
1.0
-0.6437 -4.4232 0.3202
1.6045 0.0693 4.1835
-4.1343 0.7156 1.5738
Be Ag Cd
1 3 1
Direct
0.0000 0.0000 0.0000
0.0000 0.5000 0.0000
0.0000 0.0000 0.5000
0.5000 0.0000 0.0000
0.5000 0.5000 0.5000



## x
BeCdAg3, optimized geometry, DFT PBE; size of the total moment = 0.00 μB/f.u.
1.0
-1.8235 1.4570 4.6023
0.2110 -4.8909 1.6320
4.8228 0.7649 1.6687
Be Ag Cd
1 3 1
Direct
0.5000 0.5000 0.5000
0.0000 0.5000 0.0000
0.0000 0.0000 0.5000
0.5000 0.0000 0.0000
0.0000 0.0000 0.0000



Verdict on stability: x comes out at the bottom.



## w
Be2CdAg2, optimized geometry, DFT PBE; size of the total moment = 0.00 μB/f.u.
1.0
6.8800 0.0000 0.0000
0.0000 6.8800 0.0000
0.0000 0.0000 3.0328
Be Ag Cd
4 4 2
Direct
0.3761 0.8761 0.0000
0.8761 0.6239 0.0000
0.6239 0.1239 0.0000
0.1239 0.3761 0.0000
0.1626 0.6626 0.5000
0.6626 0.8374 0.5000
0.8374 0.3374 0.5000
0.3374 0.1626 0.5000
0.0000 0.0000 0.0000
0.5000 0.5000 0.0000



## x
Be2CdAg2, optimized geometry, DFT PBE; size of the total moment = 0.00 μB/f.u.
1.0
3.0530 0.0000 0.0000
0.0000 3.0530 0.0000
1.5265 1.5265 8.1472
Be Ag Cd
2 2 1
Direct
0.7500 0.2500 0.5000
0.2500 0.7500 0.5000
0.3698 0.3698 0.2604
0.6302 0.6302 0.7396
0.0000 0.0000 0.0000



Verdict on stability: x comes out at the bottom.



## w
BeCd3Ag, optimized geometry, DFT PBE; size of the total moment = 0.00 μB/f.u.
1.0
-0.6275 -1.9784 -4.8504
4.2615 -3.0336 0.6861
-3.0463 -3.8363 1.9589
Be Ag Cd
1 1 3
Direct
0.5000 0.5000 0.5000
0.0000 0.0000 0.0000
0.0000 0.5000 0.0000
0.0000 0.0000 0.5000
0.5000 0.0000 0.0000



## x
BeCd3Ag, optimized geometry, DFT PBE; size of the total moment = 0.00 μB/f.u.
1.0
4.7048 0.0000 0.0000
0.0000 4.7048 0.0000
0.0000 0.0000 4.7048
Be Ag Cd
1 1 3
Direct
0.0000 0.0000 0.0000
0.5000 0.5000 0.5000
0.0000 0.5000 0.0000
0.0000 0.0000 0.5000
0.5000 0.0000 0.0000



Verdict on stability: w comes out at the bottom.



## w
Be3CdAg, optimized geometry, DFT PBE; size of the total moment = 0.00 μB/f.u.
1.0
4.4258 0.0000 0.0000
0.0000 4.4258 0.0000
0.0000 0.0000 4.4258
Be Ag Cd
3 1 1
Direct
0.0000 0.5000 0.0000
0.0000 0.0000 0.5000
0.5000 0.0000 0.0000
0.5000 0.5000 0.5000
0.0000 0.0000 0.0000



## x
Be3CdAg, optimized geometry, DFT PBE; size of the total moment = 0.00 μB/f.u.
1.0
-3.6106 1.9748 -1.4765
-2.3969 -2.1968 2.9232
0.5785 3.2234 2.8967
Be Ag Cd
3 1 1
Direct
0.0000 0.5000 0.0000
0.0000 0.0000 0.5000
0.5000 0.0000 0.0000
0.0000 0.0000 0.0000
0.5000 0.5000 0.5000



Verdict on stability: w comes out at the bottom.



## w
Be2Cd2Ag, optimized geometry, DFT PBE; size of the total moment = 0.00 μB/f.u.
1.0
3.9976 0.0000 0.0000
0.0000 3.9976 0.0000
1.9988 1.9988 5.4356
Be Ag Cd
2 1 2
Direct
0.4061 0.4061 0.1878
0.5939 0.5939 0.8122
0.0000 0.0000 0.0000
0.7500 0.2500 0.5000
0.2500 0.7500 0.5000



## x
Be2Cd2Ag, optimized geometry, DFT PBE; size of the total moment = 0.00 μB/f.u.
1.0
6.5330 0.0000 0.0000
0.0000 6.5330 0.0000
0.0000 0.0000 3.6630
Be Ag Cd
4 2 4
Direct
0.3759 0.8759 0.0000
0.8759 0.6241 0.0000
0.6241 0.1241 0.0000
0.1241 0.3759 0.0000
0.0000 0.0000 0.0000
0.5000 0.5000 0.0000
0.1699 0.6699 0.5000
0.6699 0.8301 0.5000
0.8301 0.3301 0.5000
0.3301 0.1699 0.5000



Verdict on stability: w comes out at the bottom.